The following is a DFT calculation (PBE-GGA) of a relaxed Tb2Pm3Ho2 crystal.

The structure belongs to space group C2/m (No. 12); the cell edges are 17.559, 3.518 and 8.576 Å and the angles 90.00°, 118.93° and 90.00°. The asymmetric unit holds Tb at (0.065, 0.000, 0.410), Pm at (0.000, 0.500, 0.000), Pm at (0.213, 0.500, 0.299) and Ho at (0.146, 0.500, 0.826).

Its formation energy is 112 meV per atom. The mass density is 7.8 g cm⁻³. For the total DFT energy (no corrections), the calculation gives -4.55 eV/atom. The energy relative to the lowest polymorph listed for this composition comes out at 9.4 kJ per mole of atoms.



The following is a DFT calculation (PBE-GGA) of a relaxed VMoPt2Cl crystal.

The structure belongs to space group P4/mmm (No. 123); the cell edges are 4.504, 4.504 and 4.358 Å and the angles 90.00°, 90.00° and 90.00°. The asymmetric unit holds V at (0.000, 0.000, 0.000), Mo at (0.500, 0.500, 0.000), Pt at (0.000, 0.500, 0.500) and Cl at (0.500, 0.500, 0.500).

The value obtained for the uncorrected formation energy is 1217 meV/atom. The mass density is 10.8 g cm⁻³. For the total DFT energy (no corrections), the calculation gives -5.56 eV/atom.



Question: Look up the mass density of the second one.
Answer: 10.8 g cm⁻³



Question: mass density of number 2 (VMoPt2Cl)?
Answer: 10.8 g cm⁻³



Question: Which of these has the lowest mass density?
Answer: Tb2Pm3Ho2



What did the first record say?
The following is a DFT calculation (PBE-GGA) of a relaxed Tb2Pm3Ho2 crystal.

The structure belongs to space group C2/m (No. 12); the cell edges are 17.559, 3.518 and 8.576 Å and the angles 90.00°, 118.93° and 90.00°. The asymmetric unit holds Tb at (0.065, 0.000, 0.410), Pm at (0.000, 0.500, 0.000), Pm at (0.213, 0.500, 0.299) and Ho at (0.146, 0.500, 0.826).

Its formation energy is 112 meV per atom. The mass density is 7.8 g cm⁻³. For the total DFT energy (no corrections), the calculation gives -4.55 eV/atom. The energy relative to the lowest polymorph listed for this composition comes out at 9.4 kJ per mole of atoms.